Compound: Sn2HOs
Source: the Alexandria database
Functional: PBE
Structure: optimized geometry

POSCAR file:
```
Sn2HOs
1.0
5.1506 0.0000 0.0000
0.0000 5.1506 0.0000
2.5753 2.5753 6.1538
Os Sn H
2 4 2
direct
0.7500 0.2500 0.5000
0.0000 0.0000 0.0000
0.1902 0.6250 0.2500
0.5598 0.1250 0.2500
0.8750 0.8098 0.7500
0.3750 0.4402 0.7500
0.2500 0.7500 0.5000
0.5000 0.5000 0.0000
```

## Properties
Polymorph energy (0 for the lowest one), eV per atom: 0.182
Volume, Å³/f.u.: 81.62
Raw total energy, Ha/atom: -0.1758

***

Compound: Tb2Pm5Pb5
Source: the Alexandria database
Functional: PBE
Structure: optimized geometry

POSCAR file:
```
Tb2Pm5Pb5
1.0
4.5967 0.0000 0.0000
-2.2983 7.3584 -0.5081
0.0000 -4.3284 12.2431
Pm Pb Tb
5 5 2
direct
0.7048 0.4097 0.3296
0.6609 0.3219 0.0272
0.5000 0.0000 0.5000
0.3391 0.6781 0.9728
0.2952 0.5903 0.6704
0.2985 0.5970 0.2165
0.7015 0.4030 0.7835
0.0000 0.0000 0.0000
0.1180 0.2361 0.4365
0.8820 0.7639 0.5635
0.9409 0.8818 0.2136
0.0591 0.1182 0.7864
```

## Properties
Formation enthalpy at 0 K, eV/atom: -0.38
Volume, Å³/f.u.: 404.00
Raw total energy, Ha/atom: -0.1719

***

Compound: TbHo2Er2Tm
Source: the Alexandria database
Functional: PBE
Structure: optimized geometry

POSCAR file:
```
TbHo2Er2Tm
1.0
3.3367 0.0000 0.0000
0.0000 6.5156 0.0000
0.0000 0.0000 17.4197
Er Ho Tm Tb
4 4 2 2
direct
0.0000 0.2356 0.8188
0.5000 0.2644 0.3188
0.0000 0.7644 0.1812
0.5000 0.7356 0.6812
0.0000 0.2663 0.1489
0.0000 0.7336 0.8511
0.5000 0.7664 0.3511
0.5000 0.2336 0.6489
0.0000 0.0000 0.0000
0.5000 0.5000 0.5000
0.0000 0.0000 0.5000
0.5000 0.5000 0.0000
```

## Properties
Formation enthalpy at 0 K, eV/atom: 0.28
Volume, Å³/f.u.: 189.36
Raw total energy, Ha/atom: -0.1573

***

Compound: Cs2MgZnSb
Source: the Alexandria database
Functional: PBE
Structure: optimized geometry

POSCAR file:
```
Cs2MgZnSb
1.0
7.3923 0.0000 0.0000
0.0000 5.3236 0.0000
0.0000 0.0000 7.3923
Mg Cs Sb Zn
1 2 1 1
direct
0.0000 0.0000 0.0000
0.0000 0.0000 0.5000
0.5000 0.0000 0.0000
0.0000 0.5000 0.0000
0.5000 0.5000 0.5000
```

## Properties
Volume, Å³/f.u.: 290.91
Raw total energy, Ha/atom: -0.0609

***

Compound: KErRe2O8
Source: the Alexandria database
Functional: PBE
Structure: optimized geometry

POSCAR file:
```
KErRe2O8
1.0
-3.4355 -4.8606 -0.6741
1.3370 1.9846 5.4915
-6.1604 4.3649 -0.0777
O K Re Er
8 1 2 1
direct
0.1694 0.3383 0.6811
0.3333 0.6667 0.9961
0.8311 0.1694 0.3189
0.6617 0.8311 0.6811
0.3383 0.1689 0.3189
0.8306 0.6617 0.3189
0.1689 0.8306 0.6811
0.6667 0.3333 0.0039
0.0000 0.0000 0.0000
0.6667 0.3333 0.2374
0.3333 0.6667 0.7626
0.0000 0.0000 0.5000
```

## Properties
Volume, Å³/f.u.: 234.63
Raw total energy, Ha/atom: -0.2890

***

Compound: TbB2Pt5
Source: the Alexandria database
Functional: PBE
Structure: optimized geometry

POSCAR file:
```
TbB2Pt5
1.0
4.0185 0.0000 0.0000
2.0093 5.5929 0.4081
2.0093 1.4287 5.4228
Pt B Tb
5 2 1
direct
0.3475 0.4381 0.8669
0.6525 0.5619 0.1331
0.6525 0.1331 0.5619
0.0000 0.5000 0.5000
0.3475 0.8669 0.4381
0.2423 0.2577 0.2577
0.7577 0.7423 0.7423
0.0000 0.0000 0.0000
```

## Properties
Formation enthalpy at 0 K, eV/atom: -0.62
Volume, Å³/f.u.: 119.54
Raw total energy, Ha/atom: -0.2443

***

Compound: Tm3TeIr
Source: the Alexandria database
Functional: PBE
Structure: optimized geometry

POSCAR file:
```
Tm3TeIr
1.0
3.9866 0.0000 0.0000
-1.9933 6.8230 -0.1849
0.0000 -1.1937 9.8140
Tm Ir Te
6 2 2
direct
0.6354 0.2707 0.8693
0.9717 0.9433 0.6443
0.7542 0.5084 0.3553
0.3646 0.7293 0.1307
0.2458 0.4916 0.6447
0.0283 0.0567 0.3557
0.6067 0.2133 0.5698
0.3933 0.7867 0.4302
0.8619 0.7238 0.8889
0.1381 0.2762 0.1111
```

## Properties
Polymorph energy (0 for the lowest one), eV per atom: 0.068
Volume, Å³/f.u.: 133.03
Raw total energy, Ha/atom: -0.2193

***

Compound: Ac7Pr2Er2
Source: the Alexandria database
Functional: PBE
Structure: optimized geometry

POSCAR file:
```
Ac7Pr2Er2
1.0
-2.4962 8.7811 -0.2967
0.0823 -4.0946 -11.3356
-2.9516 -5.0263 2.0238
Er Ac Pr
2 7 2
direct
0.6346 0.9167 0.1595
0.3654 0.0833 0.8405
0.3332 0.5852 0.8422
0.0000 0.0000 0.0000
0.6668 0.4148 0.1578
0.3507 0.8052 0.3714
0.6493 0.1948 0.6286
0.0035 0.2235 0.4903
0.9965 0.7765 0.5097
0.7355 0.6289 0.7384
0.2645 0.3711 0.2616
```

## Properties
Formation enthalpy at 0 K, eV/atom: 0.14
Volume, Å³/f.u.: 458.96
Raw total energy, Ha/atom: -0.1532

***

Compound: TlCdAsOs2
Source: the Alexandria database
Functional: PBE
Structure: optimized geometry

POSCAR file:
```
TlCdAsOs2
1.0
-2.6347 -3.0987 -2.1713
1.5503 -3.7757 3.5072
-3.5429 1.0915 2.7412
Tl Os As Cd
1 2 1 1
direct
0.0000 0.5000 0.0000
0.0000 0.0000 0.5000
0.5000 0.0000 0.0000
0.0000 0.0000 0.0000
0.5000 0.5000 0.5000
```

## Properties
Formation enthalpy at 0 K, eV/atom: 1.32
Volume, Å³/f.u.: 114.40
Raw total energy, Ha/atom: -0.1748

***

Compound: InSn3Ru
Source: the Alexandria database
Functional: PBE
Structure: optimized geometry

POSCAR file:
```
InSn3Ru
1.0
5.5018 0.0000 0.0000
0.0000 5.5018 0.0000
0.0000 0.0000 5.5018
Sn In Ru
3 1 1
direct
0.0000 0.5000 0.0000
0.0000 0.0000 0.5000
0.5000 0.0000 0.0000
0.0000 0.0000 0.0000
0.5000 0.5000 0.5000
```

## Properties
Formation enthalpy at 0 K, eV/atom: 1.41
Polymorph energy (0 for the lowest one), eV per atom: 1.284
Volume, Å³/f.u.: 166.54
Raw total energy, Ha/atom: -0.1249